Entry 1:
Below is an optimized crystal structure of TlCd2SnPd, with properties calculated at the PBE-GGA level.

Results
The value obtained for the formation energy is -0.058 eV/atom. The calculation puts the density of states at the Fermi level at 1.8 states/eV per cell. For the calculated volume, the calculation gives 141 Å³/cell.

Unit cell a=5.264 b=5.264 c=5.096 alpha=90.00 beta=90.00 gamma=90.00
Atoms (fractional coordinates):
Tl  0.500  0.500  0.500
Sn  0.000  0.000  0.500
Pd  0.000  0.000  0.000
Cd  0.000  0.500  0.000
Cd  0.500  0.000  0.000



Entry 2:
Below is an optimized crystal structure of TmCdSnPd, with properties calculated at the PBE-GGA level.

Results
The value obtained for the formation energy is -0.500 eV/atom. The calculation puts the density of states at the Fermi level at 1.9 states/eV per cell. For the calculated volume, the calculation gives 85 Å³/cell.

Unit cell a=4.936 b=4.936 c=4.936 alpha=60.00 beta=60.00 gamma=60.00
Atoms (fractional coordinates):
Tm  0.250  0.250  0.250
Sn  0.750  0.750  0.750
Pd  0.500  0.500  0.500
Cd  0.000  0.000  0.000



Entry 3:
Below is an optimized crystal structure of YCdSnPd, with properties calculated at the PBE-GGA level.

Results
The value obtained for the formation energy is -0.528 eV/atom. The calculation puts the density of states at the Fermi level at 2.0 states/eV per cell. For the calculated volume, the calculation gives 87 Å³/cell.

Unit cell a=4.975 b=4.975 c=4.975 alpha=60.00 beta=60.00 gamma=60.00
Atoms (fractional coordinates):
Y  0.750  0.750  0.750
Sn  0.250  0.250  0.250
Pd  0.500  0.500  0.500
Cd  0.000  0.000  0.000



Entry 4:
Below is an optimized crystal structure of ZnCd2SnPd, with properties calculated at the PBE-GGA level.

Results
The value obtained for the formation energy is 0.459 eV/atom. The calculation puts the density of states at the Fermi level at 2.2 states/eV per cell. For the calculated volume, the calculation gives 125 Å³/cell.

Unit cell a=4.928 b=5.158 c=4.928 alpha=90.00 beta=90.00 gamma=90.00
Atoms (fractional coordinates):
Zn  0.000  0.000  0.000
Sn  0.000  0.500  0.000
Pd  0.500  0.500  0.500
Cd  0.000  0.000  0.500
Cd  0.500  0.000  0.000



Entry 5:
Below is an optimized crystal structure of ZnCd2Sn2Pd5, with properties calculated at the PBE-GGA level.

Results
The value obtained for the formation energy is -0.340 eV/atom. The calculation puts the density of states at the Fermi level at 11.1 states/eV per cell. For the calculated volume, the calculation gives 365 Å³/cell.

Unit cell a=3.196 b=10.688 c=10.688 alpha=90.00 beta=90.00 gamma=90.00
Atoms (fractional coordinates):
Zn  0.000  0.000  0.000
Zn  0.000  0.500  0.500
Cd  0.000  0.659  0.159
Cd  0.000  0.341  0.841
Cd  0.000  0.159  0.341
Cd  0.000  0.841  0.659
Sn  0.000  0.152  0.652
Sn  0.000  0.848  0.348
Sn  0.000  0.652  0.848
Sn  0.000  0.348  0.152
Pd  0.500  0.196  0.009
Pd  0.500  0.804  0.991
Pd  0.500  0.009  0.804
Pd  0.500  0.696  0.491
Pd  0.500  0.991  0.196
Pd  0.500  0.304  0.509
Pd  0.500  0.509  0.696
Pd  0.500  0.491  0.304
Pd  0.500  0.500  0.000
Pd  0.500  0.000  0.500



Entry 6:
Below is an optimized crystal structure of SrCdPd3, with properties calculated at the PBE-GGA level.

Results
The value obtained for the formation energy is 0.026 eV/atom. The calculation puts the density of states at the Fermi level at 1.6 states/eV per cell. For the calculated volume, the calculation gives 128 Å³/cell.

Unit cell a=5.041 b=5.041 c=5.041 alpha=90.00 beta=90.00 gamma=90.00
Atoms (fractional coordinates):
Sr  0.500  0.500  0.500
Pd  0.000  0.500  0.000
Pd  0.000  0.000  0.500
Pd  0.500  0.000  0.000
Cd  0.000  0.000  0.000



Entry 7:
Below is an optimized crystal structure of Sr3CdPd3, with properties calculated at the PBE-GGA level.

Results
The value obtained for the formation energy is -0.365 eV/atom. The calculation puts the density of states at the Fermi level at 7.0 states/eV per cell. For the calculated volume, the calculation gives 449 Å³/cell.

Unit cell a=6.086 b=9.233 c=9.233 alpha=120.00 beta=90.00 gamma=90.00
Atoms (fractional coordinates):
Sr  0.750  0.695  0.640
Sr  0.750  0.360  0.055
Sr  0.750  0.945  0.305
Sr  0.250  0.305  0.360
Sr  0.250  0.640  0.945
Sr  0.250  0.055  0.695
Cd  0.250  0.667  0.333
Cd  0.750  0.333  0.667
Pd  0.250  0.687  0.637
Pd  0.250  0.363  0.051
Pd  0.250  0.949  0.313
Pd  0.750  0.313  0.363
Pd  0.750  0.637  0.949
Pd  0.750  0.051  0.687



Entry 8:
Below is an optimized crystal structure of Sr3Cd4Pd2, with properties calculated at the PBE-GGA level.

Results
The value obtained for the formation energy is -0.409 eV/atom. The calculation puts the density of states at the Fermi level at 5.2 states/eV per cell. For the calculated volume, the calculation gives 249 Å³/cell.

Unit cell a=4.884 b=6.354 c=9.475 alpha=68.14 beta=74.68 gamma=67.28
Atoms (fractional coordinates):
Sr  0.611  0.152  0.629
Sr  0.000  0.000  0.000
Sr  0.389  0.848  0.371
Cd  0.294  0.357  0.056
Cd  0.896  0.565  0.643
Cd  0.104  0.435  0.357
Cd  0.706  0.643  0.944
Pd  0.728  0.303  0.244
Pd  0.272  0.697  0.756



Entry 9:
Below is an optimized crystal structure of Sr3Cd2Pd6, with properties calculated at the PBE-GGA level.

Results
The value obtained for the formation energy is -0.552 eV/atom. The calculation puts the density of states at the Fermi level at 11.2 states/eV per cell. For the calculated volume, the calculation gives 502 Å³/cell.

Unit cell a=8.674 b=8.674 c=8.674 alpha=109.47 beta=109.47 gamma=109.47
Atoms (fractional coordinates):
Sr  0.697  0.000  0.697
Sr  0.303  0.000  0.303
Sr  0.000  0.303  0.303
Sr  0.000  0.697  0.697
Sr  0.303  0.303  0.000
Sr  0.697  0.697  0.000
Cd  0.000  0.500  0.000
Cd  0.500  0.000  0.000
Cd  0.000  0.000  0.500
Cd  0.500  0.500  0.500
Pd  0.667  0.333  0.667
Pd  0.667  0.000  0.333
Pd  0.333  0.000  0.667
Pd  0.333  0.667  0.333
Pd  0.000  0.667  0.333
Pd  0.667  0.333  0.333
Pd  0.333  0.667  0.667
Pd  0.000  0.333  0.667
Pd  0.333  0.667  0.000
Pd  0.667  0.667  0.333
Pd  0.333  0.333  0.667
Pd  0.667  0.333  0.000



Entry 10:
Below is an optimized crystal structure of SrCd8Pd4, with properties calculated at the PBE-GGA level.

Results
The value obtained for the formation energy is -0.376 eV/atom. The calculation puts the density of states at the Fermi level at 5.4 states/eV per cell. For the calculated volume, the calculation gives 270 Å³/cell.

Unit cell a=5.784 b=7.418 c=7.418 alpha=81.26 beta=67.05 gamma=67.05
Atoms (fractional coordinates):
Sr  0.000  0.000  0.000
Cd  0.000  0.340  0.660
Cd  0.000  0.660  0.340
Cd  0.340  0.660  0.660
Cd  0.660  0.340  0.340
Cd  0.500  0.779  0.221
Cd  0.500  0.221  0.779
Cd  0.279  0.221  0.221
Cd  0.721  0.779  0.779
Pd  0.000  0.000  0.500
Pd  0.500  0.000  0.500
Pd  0.000  0.500  0.000
Pd  0.500  0.500  0.000



Entry 11:
Below is an optimized crystal structure of Sr5CdPd, with properties calculated at the PBE-GGA level.

Results
The value obtained for the formation energy is -0.257 eV/atom. The calculation puts the density of states at the Fermi level at 12.5 states/eV per cell. For the calculated volume, the calculation gives 589 Å³/cell.

Unit cell a=4.660 b=8.856 c=14.296 alpha=87.49 beta=90.00 gamma=90.00
Atoms (fractional coordinates):
Sr  0.250  0.059  0.349
Sr  0.750  0.151  0.929
Sr  0.750  0.335  0.478
Sr  0.250  0.368  0.133
Sr  0.250  0.338  0.716
Sr  0.750  0.662  0.284
Sr  0.750  0.632  0.867
Sr  0.250  0.665  0.522
Sr  0.250  0.849  0.071
Sr  0.750  0.941  0.651
Cd  0.750  0.069  0.173
Cd  0.250  0.931  0.827
Pd  0.250  0.443  0.349
Pd  0.750  0.557  0.651



Entry 12:
Below is an optimized crystal structure of Sr2Cd3Pd4, with properties calculated at the PBE-GGA level.

Results
The value obtained for the formation energy is -0.524 eV/atom. The calculation puts the density of states at the Fermi level at 7.1 states/eV per cell. For the calculated volume, the calculation gives 398 Å³/cell.

Unit cell a=6.030 b=7.732 c=9.063 alpha=90.00 beta=109.43 gamma=90.00
Atoms (fractional coordinates):
Sr  0.103  0.586  0.207
Sr  0.897  0.414  0.793
Sr  0.397  0.086  0.793
Sr  0.603  0.914  0.207
Cd  0.000  0.000  0.000
Cd  0.500  0.500  0.000
Cd  0.514  0.750  0.528
Cd  0.986  0.250  0.472
Cd  0.486  0.250  0.472
Cd  0.014  0.750  0.528
Pd  0.678  0.750  0.856
Pd  0.822  0.250  0.144
Pd  0.322  0.250  0.144
Pd  0.178  0.750  0.856
Pd  0.166  0.984  0.331
Pd  0.834  0.016  0.669
Pd  0.334  0.484  0.669
Pd  0.666  0.516  0.331



Entry 13:
Below is an optimized crystal structure of Sr3CdPd3, with properties calculated at the PBE-GGA level.

Results
The value obtained for the formation energy is -0.604 eV/atom. The calculation puts the density of states at the Fermi level at 5.2 states/eV per cell. For the calculated volume, the calculation gives 374 Å³/cell.

Unit cell a=4.564 b=6.034 c=14.672 alpha=90.00 beta=90.00 gamma=112.22
Atoms (fractional coordinates):
Sr  0.208  0.415  0.895
Sr  0.792  0.585  0.105
Sr  0.208  0.415  0.605
Sr  0.792  0.585  0.395
Sr  0.487  0.975  0.750
Sr  0.513  0.025  0.250
Cd  0.500  0.000  0.000
Cd  0.500  0.000  0.500
Pd  0.918  0.837  0.910
Pd  0.082  0.163  0.090
Pd  0.918  0.837  0.590
Pd  0.082  0.163  0.410
Pd  0.785  0.569  0.750
Pd  0.215  0.431  0.250



Entry 14:
Below is an optimized crystal structure of SrCd4Pd, with properties calculated at the PBE-GGA level.

Results
The value obtained for the formation energy is -0.353 eV/atom. The calculation puts the density of states at the Fermi level at 3.8 states/eV per cell. For the calculated volume, the calculation gives 293 Å³/cell.

Unit cell a=4.307 b=7.590 c=8.956 alpha=90.00 beta=90.00 gamma=90.00
Atoms (fractional coordinates):
Sr  0.000  0.600  0.750
Sr  0.000  0.400  0.250
Cd  0.000  0.000  0.500
Cd  0.000  0.000  0.000
Cd  0.500  0.950  0.750
Cd  0.500  0.050  0.250
Cd  0.500  0.694  0.055
Cd  0.500  0.306  0.945
Cd  0.500  0.694  0.445
Cd  0.500  0.306  0.555
Pd  0.000  0.203  0.750
Pd  0.000  0.797  0.250



Entry 15:
Below is an optimized crystal structure of Sr3Cd2Pd3, with properties calculated at the PBE-GGA level.

Results
The value obtained for the formation energy is -0.519 eV/atom. The calculation puts the density of states at the Fermi level at 17.2 states/eV per cell. For the calculated volume, the calculation gives 890 Å³/cell.

Unit cell a=6.759 b=8.358 c=15.746 alpha=90.00 beta=90.00 gamma=90.00
Atoms (fractional coordinates):
Sr  0.156  0.544  0.393
Sr  0.656  0.956  0.607
Sr  0.844  0.456  0.893
Sr  0.344  0.044  0.107
Sr  0.844  0.456  0.607
Sr  0.344  0.044  0.393
Sr  0.156  0.544  0.107
Sr  0.656  0.956  0.893
Sr  0.613  0.400  0.250
Sr  0.113  0.100  0.750
Sr  0.387  0.600  0.750
Sr  0.887  0.900  0.250
Cd  0.867  0.191  0.402
Cd  0.367  0.309  0.598
Cd  0.133  0.809  0.902
Cd  0.633  0.691  0.098
Cd  0.133  0.809  0.598
Cd  0.633  0.691  0.402
Cd  0.867  0.191  0.098
Cd  0.367  0.309  0.902
Pd  0.087  0.255  0.250
Pd  0.587  0.245  0.750
Pd  0.913  0.745  0.750
Pd  0.413  0.755  0.250
Pd  0.562  0.376  0.448
Pd  0.062  0.124  0.552
Pd  0.438  0.624  0.948
Pd  0.938  0.876  0.052
Pd  0.438  0.624  0.552
Pd  0.938  0.876  0.448
Pd  0.562  0.376  0.052
Pd  0.062  0.124  0.948



Entry 16:
Below is an optimized crystal structure of SrCd5Pd7, with properties calculated at the PBE-GGA level.

Results
The value obtained for the formation energy is -0.314 eV/atom. The calculation puts the density of states at the Fermi level at 3.9 states/eV per cell. For the calculated volume, the calculation gives 250 Å³/cell.

Unit cell a=5.762 b=7.185 c=7.185 alpha=81.93 beta=66.36 gamma=66.36
Atoms (fractional coordinates):
Sr  0.994  0.006  0.006
Cd  0.499  0.006  0.492
Cd  0.003  0.006  0.492
Cd  0.499  0.492  0.006
Cd  0.003  0.492  0.006
Cd  0.717  0.783  0.783
Pd  0.647  0.353  0.353
Pd  0.348  0.652  0.652
Pd  0.000  0.353  0.648
Pd  0.000  0.648  0.353
Pd  0.284  0.216  0.216
Pd  0.503  0.773  0.221
Pd  0.503  0.221  0.773



Entry 17:
Below is an optimized crystal structure of Sr2CdPd, with properties calculated at the PBE-GGA level.

Results
The value obtained for the formation energy is -0.471 eV/atom. The calculation puts the density of states at the Fermi level at 2.0 states/eV per cell. For the calculated volume, the calculation gives 127 Å³/cell.

Unit cell a=4.644 b=4.594 c=6.374 alpha=111.12 beta=90.00 gamma=90.00
Atoms (fractional coordinates):
Sr  0.000  0.985  0.971
Sr  0.500  0.268  0.537
Cd  0.000  0.690  0.380
Pd  0.500  0.555  0.111



Entry 18:
Below is an optimized crystal structure of SrCdPd2, with properties calculated at the PBE-GGA level.

Results
The value obtained for the formation energy is -0.417 eV/atom. The calculation puts the density of states at the Fermi level at 1.1 states/eV per cell. For the calculated volume, the calculation gives 86 Å³/cell.

Unit cell a=3.494 b=3.494 c=7.031 alpha=90.00 beta=90.00 gamma=90.00
Atoms (fractional coordinates):
Sr  0.500  0.500  0.500
Pd  0.000  0.000  0.794
Pd  0.000  0.000  0.206
Cd  0.500  0.500  0.000